Compound: TiCu2Au
Source: Alexandria
Functional: PBE-GGA
Structure: optimized geometry

Properties
* energy relative to the lowest polymorph listed for this composition: 0 meV per atom
* space-group type: Fm-3m, No. 225
* VASP energy: -5.013 eV per atom
* DFT formation energy: -0.172 eV per atom

abc: 6.126 6.126 6.126
angles: 90.00 90.00 90.00
Atoms (fractional coordinates):
Ti (0.000, 0.000, 0.000)
Ti (0.000, 0.500, 0.500)
Ti (0.500, 0.000, 0.500)
Ti (0.500, 0.500, 0.000)
Cu (0.250, 0.250, 0.250)
Cu (0.250, 0.250, 0.750)
Cu (0.250, 0.750, 0.250)
Cu (0.250, 0.750, 0.750)
Cu (0.750, 0.250, 0.250)
Cu (0.750, 0.250, 0.750)
Cu (0.750, 0.750, 0.250)
Cu (0.750, 0.750, 0.750)
Au (0.000, 0.000, 0.500)
Au (0.000, 0.500, 0.000)
Au (0.500, 0.000, 0.000)
Au (0.500, 0.500, 0.500)